[1]
Ca2TiAu2 after structural relaxation, computed with PBE-GGA.

M_tot (μB per cell): 2.56
N(E_F) (states/eV/cell): 11.3
Raw total energy (eV per cell): -41.1

```
data_Ca2TiAu2
_cell_length_a 7.240
_cell_length_b 7.240
_cell_length_c 4.600
_cell_angle_alpha 90.00
_cell_angle_beta 90.00
_cell_angle_gamma 90.00
_space_group_name_H-M_alt 'P 4/m b m'
_space_group_IT_number 127
_space_group_name_Hall '-P 4 2ab'
loop_
_atom_site_label
_atom_site_fract_x
_atom_site_fract_y
_atom_site_fract_z
_atom_site_occupancy
Ca1 0.170 0.330 0.000 1
Ti1 0.000 0.000 0.500 1
Au1 0.142 0.642 0.500 1
```

=====

[2]
CaTiAu2 after structural relaxation, computed with PBE-GGA.

M_tot (μB per cell): 0.01
N(E_F) (states/eV/cell): 19.1
E above lowest polymorph (eV/atom): 0.1382

```
data_CaTiAu2
_cell_length_a 6.874
_cell_length_b 6.874
_cell_length_c 6.874
_cell_angle_alpha 90.00
_cell_angle_beta 90.00
_cell_angle_gamma 90.00
_space_group_name_H-M_alt 'F m -3 m'
_space_group_IT_number 225
_space_group_name_Hall '-F 4 2 3'
loop_
_atom_site_label
_atom_site_fract_x
_atom_site_fract_y
_atom_site_fract_z
_atom_site_occupancy
Ca1 0.000 0.000 0.000 1
Ti1 0.000 0.000 0.500 1
Au1 0.250 0.250 0.250 1
```

=====

[3]
CaTi3Au after structural relaxation, computed with PBE-GGA.

M_tot (μB per cell): 2.47
N(E_F) (states/eV/cell): 8.4
E above lowest polymorph (eV/atom): 1.0118

```
data_CaTi3Au
_cell_length_a 4.601
_cell_length_b 4.601
_cell_length_c 4.601
_cell_angle_alpha 90.00
_cell_angle_beta 90.00
_cell_angle_gamma 90.00
_space_group_name_H-M_alt 'P m -3 m'
_space_group_IT_number 221
_space_group_name_Hall '-P 4 2 3'
loop_
_atom_site_label
_atom_site_fract_x
_atom_site_fract_y
_atom_site_fract_z
_atom_site_occupancy
Ca1 0.000 0.000 0.000 1
Ti1 0.000 0.000 0.500 1
Au1 0.500 0.500 0.500 1
```

=====

[4]
CaTiAu2 after structural relaxation, computed with PBE-GGA.

M_tot (μB per cell): 0.96
N(E_F) (states/eV/cell): 4.4
E above lowest polymorph (eV/atom): 0.0758

```
data_CaTiAu2
_cell_length_a 4.999
_cell_length_b 4.999
_cell_length_c 3.209
_cell_angle_alpha 90.00
_cell_angle_beta 90.00
_cell_angle_gamma 90.00
_space_group_name_H-M_alt 'P 4/m m m'
_space_group_IT_number 123
_space_group_name_Hall '-P 4 2'
loop_
_atom_site_label
_atom_site_fract_x
_atom_site_fract_y
_atom_site_fract_z
_atom_site_occupancy
Ca1 0.000 0.000 0.000 1
Ti1 0.500 0.500 0.000 1
Au1 0.000 0.500 0.500 1
```

=====

[5]
CaTiAu2 after structural relaxation, computed with PBE-GGA.

M_tot (μB per cell): 0.59
N(E_F) (states/eV/cell): 4.1
E above lowest polymorph (eV/atom): 0.0000

```
data_CaTiAu2
_cell_length_a 3.371
_cell_length_b 3.371
_cell_length_c 7.199
_cell_angle_alpha 90.00
_cell_angle_beta 90.00
_cell_angle_gamma 90.00
_space_group_name_H-M_alt 'P 4/m m m'
_space_group_IT_number 123
_space_group_name_Hall '-P 4 2'
loop_
_atom_site_label
_atom_site_fract_x
_atom_site_fract_y
_atom_site_fract_z
_atom_site_occupancy
Ca1 0.000 0.000 0.000 1
Ti1 0.000 0.000 0.500 1
Au1 0.500 0.500 0.292 1
```

=====

[6]
CaTiAu2 after structural relaxation, computed with PBE-GGA.

M_tot (μB per cell): 6.07
N(E_F) (states/eV/cell): 24.9
E above lowest polymorph (eV/atom): 0.3668

```
data_CaTiAu2
_cell_length_a 7.548
_cell_length_b 7.548
_cell_length_c 6.643
_cell_angle_alpha 90.00
_cell_angle_beta 90.00
_cell_angle_gamma 90.00
_space_group_name_H-M_alt 'I -4 2 d'
_space_group_IT_number 122
_space_group_name_Hall 'I -4 2bw'
loop_
_atom_site_label
_atom_site_fract_x
_atom_site_fract_y
_atom_site_fract_z
_atom_site_occupancy
Ca1 0.000 0.000 0.000 1
Ti1 0.000 0.000 0.500 1
Au1 0.206 0.250 0.625 1
```